AcLaPrSn | PBE-GGA | optimized geometry

Lattice parameters (Å, degrees): 5.741 5.741 5.741 60.00 60.00 60.00
Positions (direct):
Ac 0.000 0.000 0.000
La 0.750 0.750 0.750
Pr 0.250 0.250 0.250
Sn 0.500 0.500 0.500

Summary:
* DFT formation energy: -241 meV per atom
* D(E_F): 7.11 states/eV per cell